## A
# TiWC2

An optimized crystal structure of TiWC2 (PBE, Alexandria via LeMat-Bulk).

The value obtained for the total magnetization is 0.0 μB per formula unit.

abc: 3.0712 3.0712 15.1408
angles: 90.00 90.00 120.00
Space group R-3m (No. 166, hexagonal axes)
Asymmetric unit:
1 Ti 0.0000 0.0000 0.0000
2 W 0.0000 0.0000 0.5000
3 C 0.0000 0.0000 0.2507


## B
# TiWC2

An optimized crystal structure of TiWC2 (PBE, Alexandria via LeMat-Bulk).

The value obtained for the total magnetization is 0.0 μB per formula unit.

abc: 4.718 4.718 9.429
angles: 90.00 90.00 90.00
Space group I-42d (No. 122)
Asymmetric unit:
1 Ti 0.000 0.000 0.000
2 W 0.000 0.000 0.500
3 C 0.239 0.250 0.625


## C
# TiWC2

An optimized crystal structure of TiWC2 (PBE, Alexandria via LeMat-Bulk).

The value obtained for the total magnetization is 0.0 μB per formula unit.

abc: 5.425 5.425 5.425
angles: 90.00 90.00 90.00
Space group Fm-3m (No. 225)
Asymmetric unit:
1 Ti 0.000 0.000 0.000
2 W 0.000 0.000 0.500
3 C 0.250 0.250 0.250


## D
# TiWC2

An optimized crystal structure of TiWC2 (PBE, Alexandria via LeMat-Bulk).

The value obtained for the total magnetization is 0.0 μB per formula unit.

abc: 3.0378 3.0378 15.8642
angles: 90.00 90.00 120.00
Space group R3m (No. 160, hexagonal axes)
Asymmetric unit:
1 Ti 0.0000 0.0000 0.0000
2 W 0.0000 0.0000 0.1796
3 C 0.0000 0.0000 0.5908
4 C 0.0000 0.0000 0.7619


Unit: eV/atom. Relative energies: A 0.000; B 0.512; C 0.902; D 0.135.


## A
# Ti3WC

An optimized crystal structure of Ti3WC (PBE, Alexandria via LeMat-Bulk).

The value obtained for the total magnetization is 0.0 μB per formula unit.

abc: 4.175 4.175 4.175
angles: 90.00 90.00 90.00
Space group Pm-3m (No. 221)
Asymmetric unit:
1 Ti 0.000 0.000 0.500
2 W 0.500 0.500 0.500
3 C 0.000 0.000 0.000


## B
# Ti3WC

An optimized crystal structure of Ti3WC (PBE, Alexandria via LeMat-Bulk).

The value obtained for the total magnetization is 2.1 μB per formula unit.

abc: 4.734 4.734 4.734
angles: 90.00 90.00 90.00
Space group Pm-3m (No. 221)
Asymmetric unit:
1 Ti 0.000 0.000 0.500
2 W 0.000 0.000 0.000
3 C 0.500 0.500 0.500


Unit: eV/atom. Relative energies: A 0.000; B 2.307.


## A
# YTiC3

An optimized crystal structure of YTiC3 (PBE, Alexandria via LeMat-Bulk).

The value obtained for the total magnetization is 0.0 μB per formula unit.

abc: 4.032 4.032 4.032
angles: 90.00 90.00 90.00
Space group Pm-3m (No. 221)
Asymmetric unit:
1 Y 0.000 0.000 0.000
2 Ti 0.500 0.500 0.500
3 C 0.000 0.500 0.500


## B
# YTiC3

An optimized crystal structure of YTiC3 (PBE, Alexandria via LeMat-Bulk).

The value obtained for the total magnetization is 0.4 μB per formula unit.

abc: 4.295 4.295 4.295
angles: 90.00 90.00 90.00
Space group Pm-3m (No. 221)
Asymmetric unit:
1 Y 0.000 0.000 0.000
2 Ti 0.500 0.500 0.500
3 C 0.000 0.000 0.500


Unit: eV/atom. Relative energies: A 0.000; B 1.673.


## A
# YTiC2

An optimized crystal structure of YTiC2 (PBE, Alexandria via LeMat-Bulk).

The value obtained for the total magnetization is 0.0 μB per formula unit.

abc: 5.843 5.843 5.843
angles: 90.00 90.00 90.00
Space group Fm-3m (No. 225)
Asymmetric unit:
1 Y 0.000 0.000 0.000
2 Ti 0.000 0.000 0.500
3 C 0.250 0.250 0.250


## B
# YTiC2

An optimized crystal structure of YTiC2 (PBE, Alexandria via LeMat-Bulk).

The value obtained for the total magnetization is 0.0 μB per formula unit.

abc: 5.069 5.069 10.201
angles: 90.00 90.00 90.00
Space group I-42d (No. 122)
Asymmetric unit:
1 Y 0.000 0.000 0.000
2 Ti 0.000 0.000 0.500
3 C 0.191 0.250 0.625


## C
# YTiC2

An optimized crystal structure of YTiC2 (PBE, Alexandria via LeMat-Bulk).

The value obtained for the total magnetization is 0.0 μB per formula unit.

abc: 3.3062 3.3062 16.4846
angles: 90.00 90.00 120.00
Space group R-3m (No. 166, hexagonal axes)
Asymmetric unit:
1 Y 0.0000 0.0000 0.0000
2 Ti 0.0000 0.0000 0.5000
3 C 0.0000 0.0000 0.2370


Unit: eV/atom. Relative energies: A 0.896; B 0.387; C 0.000.


## A
# TiZn2C2

An optimized crystal structure of TiZn2C2 (PBE, Alexandria via LeMat-Bulk).

The value obtained for the total magnetization is 0.0 μB per formula unit.

abc: 3.892 3.892 7.678
angles: 90.00 90.00 90.00
Space group I4/mmm (No. 139)
Asymmetric unit:
1 Ti 0.000 0.000 0.000
2 Zn 0.000 0.000 0.348
3 C 0.000 0.500 0.250


## B
# TiZn2C2

An optimized crystal structure of TiZn2C2 (PBE, Alexandria via LeMat-Bulk).

The value obtained for the total magnetization is 0.0 μB per formula unit.

abc: 5.971 5.971 3.161
angles: 90.00 90.00 90.00
Space group P4/mbm (No. 127)
Asymmetric unit:
1 Ti 0.000 0.000 0.000
2 Zn 0.145 0.355 0.500
3 C 0.174 0.674 0.000


Unit: eV/atom. Relative energies: A 0.294; B 0.000.


## A
# TiZn2C2

An optimized crystal structure of TiZn2C2 (PBE, Alexandria via LeMat-Bulk).

The value obtained for the total magnetization is 0.0 μB per formula unit.

abc: 6.452 6.452 2.674
angles: 90.00 90.00 90.00
Space group P4/mbm (No. 127)
Asymmetric unit:
1 Ti 0.000 0.000 0.000
2 Zn 0.127 0.373 0.000
3 C 0.184 0.684 0.500


## B
# TiZn2C2

An optimized crystal structure of TiZn2C2 (PBE, Alexandria via LeMat-Bulk).

The value obtained for the total magnetization is 0.0 μB per formula unit.

abc: 3.386 3.386 9.643
angles: 90.00 90.00 90.00
Space group I4/mmm (No. 139)
Asymmetric unit:
1 Ti 0.000 0.000 0.000
2 Zn 0.000 0.500 0.250
3 C 0.000 0.000 0.427


Unit: eV/atom. Relative energies: A 0.713; B 0.000.